NbRuW2S PBE optimized geometry; formation energy (no corrections) = 2.206 eV per atom; total energy = -38.3 eV per cell
1.0
4.7897 0.0000 0.0000
0.0000 4.7897 0.0000
0.0000 0.0000 4.5063
Nb Ru W S
1 1 2 1
Direct
0.0000 0.0000 0.0000
0.5000 0.5000 0.5000
0.0000 0.5000 0.0000
0.5000 0.0000 0.0000
0.0000 0.0000 0.5000